BeAgOs3: optimized geometry, PBE.

Computed properties:
DFT total energy in eV per atom: -4.656
Mass density in g/cm³: 10.42
SG: No. 221
Energy of formation from the pure elements in eV/atom: 3.40
DOS at the Fermi energy in states/eV/atom: 0.797

Cell lengths 4.7855, 4.7855, 4.7855 Å; angles 90.00, 90.00, 90.00 degrees
Last column: nearest neighbours and their distance in Å.
Atoms (fractional coordinates):
Be  0.0000  0.0000  0.0000  12 Os 3.38
Ag  0.5000  0.5000  0.5000  6 Os 2.39
Os  0.0000  0.5000  0.5000  2 Ag 2.39
Os  0.5000  0.0000  0.5000  2 Ag 2.39
Os  0.5000  0.5000  0.0000  2 Ag 2.39